Record 1
The following is a PBEsol calculation of Cd2CoW after structural relaxation, from Alexandria.

Values from the calculation:
**Offset from the most stable computed form**: 0.0 meV per atom
**Symmetry**: No. 166
**Energy of formation from the pure elements**: 0.563 eV per atom

Cell: 9.494 9.494 9.494 Å, 17.07 17.07 17.07°
Element x y z (fractional)
Cd: 0.244 0.244 0.244
Cd: 0.756 0.756 0.756
Co: 0.500 0.500 0.500
W: 0.000 0.000 0.000

=====

Record 2
The following is a PBEsol calculation of CdCoW2 after structural relaxation, from Alexandria.

Values from the calculation:
**Symmetry**: No. 65
**Energy of formation from the pure elements**: 0.585 eV per atom

Cell: 4.970 4.970 2.682 Å, 90.00 90.00 115.88°
Element x y z (fractional)
Cd: 0.000 0.000 0.000
Co: 0.500 0.500 0.000
W: 0.000 0.500 0.500
W: 0.500 0.000 0.500

=====

Record 3
The following is a PBEsol calculation of YCdCo2 after structural relaxation, from Alexandria.

Values from the calculation:
**Symmetry**: No. 99
**Energy of formation from the pure elements**: 0.063 eV per atom

Cell: 3.065 3.065 7.091 Å, 90.00 90.00 90.00°
Element x y z (fractional)
Y: 0.000 0.000 0.000
Cd: 0.500 0.500 0.345
Co: 0.000 0.000 0.591
Co: 0.500 0.500 0.731

=====

Record 4
The following is a PBEsol calculation of YCd2Co after structural relaxation, from Alexandria.

Values from the calculation:
**Symmetry**: No. 123
**Energy of formation from the pure elements**: 0.029 eV per atom

Cell: 3.995 3.995 4.816 Å, 90.00 90.00 90.00°
Element x y z (fractional)
Y: 0.000 0.000 0.000
Cd: 0.000 0.500 0.500
Cd: 0.500 0.000 0.500
Co: 0.500 0.500 0.000

=====

Record 5
The following is a PBEsol calculation of Y2CdCo after structural relaxation, from Alexandria.

Values from the calculation:
**Symmetry**: No. 99
**Energy of formation from the pure elements**: 0.096 eV per atom

Cell: 3.766 3.766 6.540 Å, 90.00 90.00 90.00°
Element x y z (fractional)
Y: 0.000 0.000 0.000
Y: 0.500 0.500 0.327
Cd: 0.000 0.000 0.561
Co: 0.500 0.500 0.905

=====

Record 6
The following is a PBEsol calculation of Y2CdCo after structural relaxation, from Alexandria.

Values from the calculation:
**Symmetry**: No. 99
**Energy of formation from the pure elements**: 0.019 eV per atom

Cell: 3.294 3.294 8.104 Å, 90.00 90.00 90.00°
Element x y z (fractional)
Y: 0.000 0.000 0.000
Y: 0.500 0.500 0.359
Cd: 0.000 0.000 0.627
Co: 0.500 0.500 0.809

=====

Record 7
The following is a PBEsol calculation of Y4CdCo after structural relaxation, from Alexandria.

Values from the calculation:
**Symmetry**: No. 216
**Energy of formation from the pure elements**: 0.716 eV per atom

Cell: 6.029 6.029 6.029 Å, 60.00 60.00 60.00°
Element x y z (fractional)
Y: 0.125 0.125 0.125
Y: 0.125 0.125 0.626
Y: 0.125 0.626 0.125
Y: 0.626 0.125 0.125
Cd: 0.500 0.500 0.500
Co: 0.750 0.750 0.750

=====

Record 8
The following is a PBEsol calculation of YCd2Co after structural relaxation, from Alexandria.

Values from the calculation:
**Symmetry**: No. 216
**Energy of formation from the pure elements**: 0.002 eV per atom

Cell: 4.759 4.759 4.759 Å, 60.00 60.00 60.00°
Element x y z (fractional)
Y: 0.000 0.000 0.000
Cd: 0.500 0.500 0.500
Cd: 0.750 0.750 0.750
Co: 0.250 0.250 0.250

=====

Record 9
The following is a PBEsol calculation of Y2CdCo after structural relaxation, from Alexandria.

Values from the calculation:
**Symmetry**: No. 119
**Energy of formation from the pure elements**: 0.059 eV per atom

Cell: 5.447 5.447 5.447 Å, 133.77 133.77 67.45°
Element x y z (fractional)
Y: 0.000 0.000 0.000
Y: 0.750 0.250 0.500
Cd: 0.500 0.500 0.000
Co: 0.250 0.750 0.500

=====

Record 10
The following is a PBEsol calculation of Y3CdCo after structural relaxation, from Alexandria.

Values from the calculation:
**Symmetry**: No. 221
**Energy of formation from the pure elements**: 1.044 eV per atom

Cell: 5.480 5.480 5.480 Å, 90.00 90.00 90.00°
Element x y z (fractional)
Y: 0.000 0.000 0.500
Y: 0.000 0.500 0.000
Y: 0.500 0.000 0.000
Cd: 0.000 0.000 0.000
Co: 0.500 0.500 0.500

=====

Record 11
The following is a PBEsol calculation of Y2CdCo after structural relaxation, from Alexandria.

Values from the calculation:
**Symmetry**: No. 123
**Energy of formation from the pure elements**: -0.253 eV per atom

Cell: 3.344 3.344 7.646 Å, 90.00 90.00 90.00°
Element x y z (fractional)
Y: 0.000 0.000 0.211
Y: 0.000 0.000 0.789
Cd: 0.500 0.500 0.500
Co: 0.500 0.500 0.000

=====

Record 12
The following is a PBEsol calculation of YCdCo2 after structural relaxation, from Alexandria.

Values from the calculation:
**Symmetry**: No. 119
**Energy of formation from the pure elements**: 0.179 eV per atom

Cell: 5.168 5.168 5.168 Å, 136.67 136.67 62.95°
Element x y z (fractional)
Y: 0.000 0.000 0.000
Cd: 0.750 0.250 0.500
Co: 0.250 0.750 0.500
Co: 0.500 0.500 0.000

=====

energy of formation from the pure elements of number 6 (Y2CdCo)?
0.019 eV per atom